# LiMn3O2F6, PBEsol geometry, DFT SCAN
data_LiMn3O2F6
_chemical_formula_sum 'Li2 Mn6 O4 F12'
_cell_length_a 4.622
_cell_length_b 5.436
_cell_length_c 10.169
_cell_angle_alpha 96.46
_cell_angle_beta 90.00
_cell_angle_gamma 90.00
_space_group_name_H-M_alt 'P 1'
_space_group_IT_number 1
_space_group_name_Hall 'P 1'
loop_
_atom_site_label
_atom_site_type_symbol
_atom_site_fract_x
_atom_site_fract_y
_atom_site_fract_z
_atom_site_occupancy
F1 F 0.679 0.714 0.577 1
F2 F 0.821 0.714 0.077 1
Mn1 Mn 0.470 0.732 0.747 1
F3 F 0.204 0.783 0.427 1
O1 O 0.330 0.516 0.174 1
F4 F 0.179 0.286 0.923 1
F5 F 0.296 0.783 0.927 1
F6 F 0.725 0.984 0.316 1
F7 F 0.275 0.016 0.684 1
Li1 Li 0.500 0.000 0.500 1
F8 F 0.225 0.016 0.184 1
F9 F 0.775 0.984 0.816 1
O2 O 0.170 0.516 0.674 1
F10 F 0.704 0.217 0.073 1
F11 F 0.796 0.217 0.573 1
F12 F 0.321 0.286 0.423 1
O3 O 0.830 0.484 0.326 1
Li2 Li 0.000 0.000 0.000 1
Mn2 Mn 0.530 0.268 0.253 1
Mn3 Mn 0.030 0.732 0.247 1
Mn4 Mn 0.500 0.500 0.000 1
Mn5 Mn 0.970 0.268 0.753 1
Mn6 Mn 0.000 0.500 0.500 1
O4 O 0.670 0.484 0.826 1
# Calculated total energy = -10.29 eV per atom
# Formation energy from raw total energies = -32.6 eV per formula unit
# Magnetic moment = 12.0 μB/f.u.
# ρ = 4.2 Mg/m³
# Offset from the most stable computed form = 0 meV per atom

# Li4Mn5O9F, PBEsol geometry, DFT SCAN
data_Li4Mn5O9F
_chemical_formula_sum 'Li4 Mn5 O9 F1'
_cell_length_a 5.061
_cell_length_b 5.321
_cell_length_c 7.732
_cell_angle_alpha 105.83
_cell_angle_beta 103.20
_cell_angle_gamma 102.76
_space_group_name_H-M_alt 'P 1'
_space_group_IT_number 1
_space_group_name_Hall 'P 1'
loop_
_atom_site_label
_atom_site_type_symbol
_atom_site_fract_x
_atom_site_fract_y
_atom_site_fract_z
_atom_site_occupancy
Li1 Li 0.716 0.413 0.918 1
O1 O 0.663 0.799 0.025 1
O2 O 0.279 0.030 0.267 1
Mn1 Mn 0.793 0.594 0.597 1
F1 F 0.750 0.059 0.739 1
O3 O 0.357 0.138 0.954 1
O4 O 0.944 0.335 0.146 1
O5 O 0.863 0.213 0.437 1
O6 O 0.138 0.800 0.572 1
O7 O 0.001 0.634 0.842 1
Mn2 Mn 0.390 0.792 0.805 1
Mn3 Mn 0.008 0.984 0.006 1
O8 O 0.437 0.461 0.651 1
Li2 Li 0.896 0.810 0.306 1
Mn4 Mn 0.202 0.401 0.392 1
Li3 Li 0.495 0.963 0.479 1
O9 O 0.555 0.596 0.371 1
Li4 Li 0.110 0.187 0.691 1
Mn5 Mn 0.602 0.182 0.201 1
# Calculated total energy = -10.70 eV per atom
# Formation energy from raw total energies = -42.9 eV per formula unit
# Magnetic moment = 20.0 μB/f.u.
# ρ = 4.2 Mg/m³

# Li5Mn5O9F, PBEsol geometry, DFT SCAN
data_Li5Mn5O9F
_chemical_formula_sum 'Li5 Mn5 O9 F1'
_cell_length_a 5.097
_cell_length_b 5.279
_cell_length_c 7.711
_cell_angle_alpha 105.54
_cell_angle_beta 104.46
_cell_angle_gamma 102.01
_space_group_name_H-M_alt 'P 1'
_space_group_IT_number 1
_space_group_name_Hall 'P 1'
loop_
_atom_site_label
_atom_site_type_symbol
_atom_site_fract_x
_atom_site_fract_y
_atom_site_fract_z
_atom_site_occupancy
Mn1 Mn 0.385 0.796 0.802 1
O1 O 0.446 0.454 0.650 1
F1 F 0.752 0.042 0.740 1
Li1 Li 0.696 0.412 0.907 1
Mn2 Mn 0.607 0.191 0.198 1
O2 O 0.133 0.800 0.571 1
O3 O 0.544 0.597 0.367 1
O4 O 0.287 0.009 0.255 1
Mn3 Mn 0.004 0.987 0.007 1
Li2 Li 0.300 0.611 0.107 1
Li3 Li 0.109 0.199 0.698 1
O5 O 0.366 0.160 0.950 1
Li4 Li 0.507 0.976 0.485 1
O6 O 0.635 0.786 0.028 1
O7 O 0.949 0.381 0.160 1
Mn4 Mn 0.202 0.400 0.398 1
O8 O 0.016 0.599 0.838 1
Li5 Li 0.903 0.803 0.308 1
Mn5 Mn 0.796 0.589 0.598 1
O9 O 0.865 0.206 0.434 1
# Calculated total energy = -10.40 eV per atom
# Formation energy from raw total energies = -45.1 eV per formula unit
# Magnetic moment = 21.0 μB/f.u.
# ρ = 4.2 Mg/m³

# Li4Mn7O9F7, PBEsol geometry, DFT SCAN
data_Li4Mn7O9F7
_chemical_formula_sum 'Li4 Mn7 O9 F7'
_cell_length_a 5.699
_cell_length_b 5.919
_cell_length_c 10.262
_cell_angle_alpha 76.36
_cell_angle_beta 73.88
_cell_angle_gamma 61.22
_space_group_name_H-M_alt 'P 1'
_space_group_IT_number 1
_space_group_name_Hall 'P 1'
loop_
_atom_site_label
_atom_site_type_symbol
_atom_site_fract_x
_atom_site_fract_y
_atom_site_fract_z
_atom_site_occupancy
O1 O 0.216 0.640 0.929 1
Mn1 Mn 0.062 0.576 0.804 1
F1 F 0.220 0.160 0.930 1
Mn2 Mn 0.807 0.818 0.568 1
Mn3 Mn 0.557 0.576 0.804 1
Li1 Li 0.610 0.665 0.115 1
F2 F 0.690 0.160 0.930 1
F3 F 0.685 0.689 0.458 1
O2 O 0.404 0.001 0.192 1
Li2 Li 0.012 0.968 0.009 1
O3 O 0.439 0.409 0.714 1
O4 O 0.463 0.948 0.682 1
O5 O 0.720 0.125 0.436 1
Mn4 Mn 0.577 0.054 0.309 1
Li3 Li 0.510 0.471 0.509 1
O6 O 0.909 0.494 0.687 1
F4 F 0.922 0.448 0.186 1
Mn5 Mn 0.293 0.341 0.072 1
F5 F 0.444 0.448 0.186 1
O7 O 0.907 0.948 0.682 1
F6 F 0.168 0.689 0.458 1
O8 O 0.691 0.716 0.903 1
Li4 Li 0.114 0.152 0.619 1
F7 F 0.207 0.159 0.427 1
Mn6 Mn 0.059 0.054 0.309 1
O9 O 0.917 0.963 0.203 1
Mn7 Mn 0.573 0.055 0.799 1
# Calculated total energy = -10.55 eV per atom
# Formation energy from raw total energies = -66.7 eV per formula unit
# Magnetic moment = 25.6 μB/f.u.
# ρ = 4.0 Mg/m³